Compound: Ac2YSe4
Source: the Alexandria database
Functional: GGA-PBE
Structure: relaxed

Geometry as POSCAR:
```
Ac2YSe4
1.0
-2.267 -3.228 1.278
0.053 -4.833 -5.387
5.378 -5.888 1.397
Se Ac Y
4 2 1
Direct
0.943 0.748 0.367 Se
0.337 0.247 0.078 Se
0.057 0.252 0.633 Se
0.663 0.753 0.922 Se
0.648 0.406 0.299 Ac
0.352 0.594 0.701 Ac
0.000 0.000 0.000 Y
```

Computed properties:
Total magnetization   0.000 μB/cell
Raw formation energy   -1.9128 eV/atom
Symmetry   C2/m, No. 12
Uncorrected energy   -6.0012 eV/atom
Polymorph energy (0 for the lowest one)   0.0 kJ/mol of formula units

***

Compound: CoSiAg2
Source: the Alexandria database
Functional: GGA-PBE
Structure: relaxed

Geometry as POSCAR:
```
CoSiAg2
1.0
4.891 -0.029 0.000
-1.994 4.466 0.000
0.000 0.000 2.809
Ag Co Si
2 1 1
Direct
0.500 0.500 0.000 Ag
0.000 0.000 0.000 Ag
0.500 0.000 0.500 Co
0.000 0.500 0.500 Si
```

Computed properties:
Total magnetization   1.532 μB/cell
Raw formation energy   0.3897 eV/atom
Symmetry   Cmmm, No. 65
Uncorrected energy   -4.1682 eV/atom

***

Compound: Y2TmPd2
Source: the Alexandria database
Functional: GGA-PBE
Structure: relaxed

Geometry as POSCAR:
```
Y2TmPd2
1.0
4.052 0.000 0.000
0.000 7.699 0.000
0.000 0.000 7.699
Pd Y Tm
4 4 2
Direct
0.000 0.135 0.365 Pd
0.000 0.865 0.635 Pd
0.000 0.365 0.865 Pd
0.000 0.635 0.135 Pd
0.500 0.165 0.665 Y
0.500 0.835 0.335 Y
0.500 0.335 0.165 Y
0.500 0.665 0.835 Y
0.000 0.500 0.500 Tm
0.000 0.000 0.000 Tm
```

Computed properties:
Formation energy from the elements   -0.74 eV per atom
Total magnetization   0.000 μB/cell
Symmetry   P4/mbm, No. 127
Uncorrected energy   -6.2997 eV/atom

***

Compound: SmZn2GeIr2
Source: the Alexandria database
Functional: GGA-PBE
Structure: relaxed

Geometry as POSCAR:
```
SmZn2GeIr2
1.0
4.616 0.000 0.000
0.000 4.616 0.000
0.000 0.000 5.636
Zn Ge Sm Ir
2 1 1 2
Direct
0.500 0.500 0.733 Zn
0.500 0.500 0.267 Zn
0.000 0.000 0.000 Ge
0.000 0.000 0.500 Sm
0.500 0.000 0.000 Ir
0.000 0.500 0.000 Ir
```

Computed properties:
Formation energy from the elements   -0.07 eV per atom
Total magnetization   0.757 μB/cell
Symmetry   P4/mmm, No. 123
Uncorrected energy   -5.0070 eV/atom

***

What is the uncorrected energy in the third record? -6.2997 eV/atom

***

Among the records above, which one has the highest uncorrected energy? CoSiAg2